(1)
# SbSe2S PBE optimized geometry
data_SbSe2S
_symmetry_space_group_name_H-M 'R -3 m'
_symmetry_Int_Tables_number 166
_symmetry_space_group_name_Hall '-R 3 2"'
_cell_length_a 3.5636
_cell_length_b 3.5636
_cell_length_c 26.9578
_cell_angle_alpha 90.00
_cell_angle_beta 90.00
_cell_angle_gamma 120.00
loop_
_atom_site_label
_atom_site_fract_x
_atom_site_fract_y
_atom_site_fract_z
_atom_site_occupancy
Sb1 0.0000 0.0000 0.0000 1
Se1 0.0000 0.0000 0.1054 1
S1 0.0000 0.0000 0.5000 1
# Raw formation energy ... 419 meV per atom
# Total moment ... 0.00 μB/f.u.
# Excess energy over the best structure of this formula in the dataset ... 248 meV/atom

***

(2)
# SbSe2S2 PBE optimized geometry
data_SbSe2S2
_symmetry_space_group_name_H-M 'I 4/m m m'
_symmetry_Int_Tables_number 139
_symmetry_space_group_name_Hall '-I 4 2'
_cell_length_a 5.182
_cell_length_b 5.182
_cell_length_c 9.021
_cell_angle_alpha 90.00
_cell_angle_beta 90.00
_cell_angle_gamma 90.00
loop_
_atom_site_label
_atom_site_fract_x
_atom_site_fract_y
_atom_site_fract_z
_atom_site_occupancy
Sb1 0.000 0.000 0.000 1
Se1 0.000 0.000 0.307 1
S1 0.000 0.500 0.250 1
# Raw formation energy ... 483 meV per atom
# Total moment ... 0.00 μB/f.u.
# Excess energy over the best structure of this formula in the dataset ... 447 meV/atom

***

(3)
# Sb2SeS2 PBE optimized geometry
data_Sb2SeS2
_symmetry_space_group_name_H-M 'P n m a'
_symmetry_Int_Tables_number 62
_cell_length_a 8.930
_cell_length_b 5.537
_cell_length_c 12.020
_cell_angle_alpha 90.00
_cell_angle_beta 90.00
_cell_angle_gamma 90.00
loop_
_symmetry_equiv_pos_as_xyz
'x,y,z'
'-x,-y,-z'
'-x+1/2,-y,z+1/2'
'x+1/2,y,-z+1/2'
'x+1/2,-y+1/2,-z+1/2'
'-x+1/2,y+1/2,z+1/2'
'-x,y+1/2,-z'
'x,-y+1/2,z'
loop_
_atom_site_label
_atom_site_fract_x
_atom_site_fract_y
_atom_site_fract_z
_atom_site_occupancy
Sb1 0.140 0.250 0.239 1
Sb2 0.147 0.250 0.906 1
Se1 0.169 0.750 0.574 1
S1 0.094 0.750 0.890 1
S2 0.139 0.750 0.274 1
# Raw formation energy ... -197 meV per atom
# Total moment ... 0.00 μB/f.u.

***

(4)
# Sb2SeS3 PBE optimized geometry
data_Sb2SeS3
_symmetry_space_group_name_H-M 'P -3 m 1'
_symmetry_Int_Tables_number 164
_symmetry_space_group_name_Hall '-P 3 2"'
_cell_length_a 7.5611
_cell_length_b 7.5611
_cell_length_c 6.4986
_cell_angle_alpha 90.00
_cell_angle_beta 90.00
_cell_angle_gamma 120.00
loop_
_atom_site_label
_atom_site_fract_x
_atom_site_fract_y
_atom_site_fract_z
_atom_site_occupancy
Sb1 0.0000 0.0000 0.0000 1
Sb2 0.0000 0.5000 0.0000 1
Se1 0.3333 0.6667 0.7350 1
S1 0.1688 0.3377 0.2354 1
# Raw formation energy ... -106 meV per atom
# Total moment ... 0.00 μB/f.u.

***

(5)
# Sb2SeS2 PBE optimized geometry
data_Sb2SeS2
_symmetry_space_group_name_H-M 'P -1'
_symmetry_Int_Tables_number 2
_cell_length_a 3.865
_cell_length_b 7.762
_cell_length_c 10.714
_cell_angle_alpha 98.49
_cell_angle_beta 91.83
_cell_angle_gamma 104.30
loop_
_symmetry_equiv_pos_as_xyz
'x,y,z'
'-x,-y,-z'
loop_
_atom_site_label
_atom_site_fract_x
_atom_site_fract_y
_atom_site_fract_z
_atom_site_occupancy
Sb1 0.011 0.491 0.193 1
Sb2 0.272 0.013 0.173 1
Se1 0.356 0.214 0.994 1
S1 0.115 0.782 0.699 1
S2 0.402 0.356 0.678 1
# Raw formation energy ... -211 meV per atom
# Total moment ... 0.00 μB/f.u.

***

(6)
# SbSe2S PBE optimized geometry
data_SbSe2S
_symmetry_space_group_name_H-M 'I -4 2 d'
_symmetry_Int_Tables_number 122
_symmetry_space_group_name_Hall 'I -4 2bw'
_cell_length_a 7.196
_cell_length_b 7.196
_cell_length_c 8.008
_cell_angle_alpha 90.00
_cell_angle_beta 90.00
_cell_angle_gamma 90.00
loop_
_atom_site_label
_atom_site_fract_x
_atom_site_fract_y
_atom_site_fract_z
_atom_site_occupancy
Sb1 0.000 0.000 0.000 1
Se1 0.236 0.750 0.625 1
S1 0.000 0.000 0.500 1
# Raw formation energy ... 289 meV per atom
# Total moment ... 0.00 μB/f.u.
# Excess energy over the best structure of this formula in the dataset ... 118 meV/atom